Material: RbPrVF6
Method: DFT, PBE with a Hubbard U
State: relaxed

Properties
raw total energy = -108.02 eV per cell
total magnetic moment = 0.333 μB per atom

Cell lengths 7.994, 7.452, 7.635 Å; angles 119.21, 121.57, 90.00 degrees
Atoms (fractional coordinates):
1 F 0.827 0.614 0.267
2 V 0.500 0.000 0.000
3 Pr 0.000 0.000 0.500
4 F 0.134 0.884 0.269
5 F 0.597 0.847 0.194
6 F 0.827 0.152 0.267
7 F 0.561 0.386 0.733
8 V 0.500 0.500 0.000
9 F 0.439 0.614 0.267
10 F 0.561 0.848 0.733
11 F 0.439 0.152 0.267
12 Rb 0.838 0.588 0.676
13 F 0.403 0.153 0.806
14 Pr 0.500 0.000 0.500
15 F 0.173 0.386 0.733
16 Rb 0.162 0.412 0.324
17 F 0.173 0.848 0.733
18 F 0.866 0.116 0.731